Below is a relaxed La7Pr12Sm crystal, with properties calculated at the GGA-PBE level.

Unit cell a=10.5216 b=10.5216 c=10.5216 alpha=113.26 beta=113.26 gamma=113.26
Positions (direct):
La (0.0816, 0.0818, 0.4270)
La (0.5730, 0.9184, 0.9182)
La (0.0818, 0.4270, 0.0816)
La (0.4270, 0.0816, 0.0818)
La (0.9184, 0.9182, 0.5730)
La (0.5000, 0.5000, 0.5000)
La (0.9182, 0.5730, 0.9184)
Pr (0.4993, 0.2142, 0.7850)
Pr (0.2150, 0.5007, 0.7858)
Pr (0.6601, 0.6600, 0.9847)
Pr (0.3399, 0.3400, 0.0153)
Pr (0.9847, 0.6601, 0.6600)
Pr (0.5007, 0.7858, 0.2150)
Pr (0.7850, 0.4993, 0.2142)
Pr (0.2142, 0.7850, 0.4993)
Pr (0.3400, 0.0153, 0.3399)
Pr (0.0153, 0.3399, 0.3400)
Pr (0.6600, 0.9847, 0.6601)
Pr (0.7858, 0.2150, 0.5007)
Sm (0.0000, 0.0000, 0.0000)

## Properties
Calculated formation energy ... 178 meV/atom
Density of states at the Fermi level ... 1.522 states/eV/atom